# 1
Computed, not measured: a relaxed structure of SrTlRu at the PBEsol level of DFT.

Cell lengths 4.6594, 4.6594, 3.9763 Å; angles 90.00, 90.00, 120.00 degrees
Space group P-6m2 (No. 187)
One atom of each set of equivalent atoms:
Sr  0.0000  0.0000  0.0000 [1 per cell]
Tl  0.6667  0.3333  0.5000 [1 per cell]
Ru  0.3333  0.6667  0.5000 [1 per cell]

Values from the calculation:
total energy	-4.57	eV per atom
spin magnetization	0.000	μB/f.u.


# 2
Computed, not measured: a relaxed structure of Sr2TlRu at the PBEsol level of DFT.

Cell lengths 7.4959, 7.4959, 7.4959 Å; angles 90.00, 90.00, 90.00 degrees
Space group Fm-3m (No. 225)
One atom of each set of equivalent atoms:
Sr  0.2500  0.2500  0.2500 [8 per cell]
Tl  0.0000  0.0000  0.0000 [4 per cell]
Ru  0.0000  0.0000  0.5000 [4 per cell]

Values from the calculation:
total energy	-3.82	eV per atom
spin magnetization	0.000	μB/f.u.


| no. | calculated formation energy (meV per atom) |
| --- | --- |
| 1 | 313 |
| 2 | 297 |